# 1
Material: BeInSi2
Method: DFT, meta-GGA SCAN
State: PBEsol geometry

Results
calculated volume = 65.82 Å³ per cell
crystal system = orthorhombic
M_tot = 0.00 μB per cell
energy above the most stable polymorph in this dataset = 0 meV per atom
formation energy without anion corrections = 0.449 eV/atom

a b c (Å): 4.3622 4.3622 3.7074
angles (deg): 90.00 90.00 111.10
Element x y z (fractional)
1 Be 0.0000 0.0000 0.0000
2 In 0.5000 0.5000 0.0000
3 Si 0.1828 0.8172 0.5000
4 Si 0.8172 0.1828 0.5000

# 2
Material: Sr2BeIn
Method: DFT, meta-GGA SCAN
State: PBEsol geometry

Results
energy of formation from the pure elements = -37 meV per atom
calculated volume = 112.59 Å³ per cell
crystal system = orthorhombic
M_tot = 0.09 μB per cell
energy above the most stable polymorph in this dataset = 0 meV per atom

a b c (Å): 6.3180 6.3180 6.3180
angles (deg): 144.44 129.03 63.69
Element x y z (fractional)
1 Sr 0.0000 0.0000 0.0000
2 Sr 0.6911 0.1911 0.5000
3 Be 0.4392 0.4392 0.0000
4 In 0.2872 0.7872 0.5000

# 3
Material: Sr2BeIn
Method: DFT, meta-GGA SCAN
State: PBEsol geometry

Results
energy of formation from the pure elements = 1 meV per atom
calculated volume = 116.76 Å³ per cell
crystal system = cubic
M_tot = 0.01 μB per cell
energy above the most stable polymorph in this dataset = 38 meV per atom

a b c (Å): 5.4862 5.4862 5.4862
angles (deg): 60.00 60.00 60.00
Element x y z (fractional)
1 Sr 0.2500 0.2500 0.2500
2 Sr 0.7500 0.7500 0.7500
3 Be 0.0000 0.0000 0.0000
4 In 0.5000 0.5000 0.5000

# 4
Material: SrBeIn2
Method: DFT, meta-GGA SCAN
State: PBEsol geometry

Results
energy of formation from the pure elements = -182 meV per atom
calculated volume = 100.22 Å³ per cell
crystal system = trigonal
M_tot = 0.00 μB per cell

a b c (Å): 6.6104 6.6104 6.6104
angles (deg): 38.42 38.42 38.42
Element x y z (fractional)
1 Sr 0.0000 0.0000 0.0000
2 Be 0.1953 0.1953 0.1953
3 In 0.5450 0.5450 0.5450
4 In 0.7885 0.7885 0.7885

# 5
Material: SrBeIn2
Method: DFT, meta-GGA SCAN
State: PBEsol geometry

Results
energy of formation from the pure elements = -201 meV per atom
calculated volume = 99.76 Å³ per cell
crystal system = trigonal
M_tot = 0.00 μB per cell

a b c (Å): 6.6349 6.6349 6.6349
angles (deg): 38.08 38.08 38.08
Element x y z (fractional)
1 Sr 0.0000 0.0000 0.0000
2 Be 0.5000 0.5000 0.5000
3 In 0.2132 0.2132 0.2132
4 In 0.7868 0.7868 0.7868

# 6
Material: Sr2BeIn
Method: DFT, meta-GGA SCAN
State: PBEsol geometry

Results
energy of formation from the pure elements = -11 meV per atom
calculated volume = 114.56 Å³ per cell
crystal system = tetragonal
M_tot = 0.04 μB per cell
energy above the most stable polymorph in this dataset = 25 meV per atom

a b c (Å): 3.7910 3.7910 7.9711
angles (deg): 90.00 90.00 90.00
Element x y z (fractional)
1 Sr 0.0000 0.0000 0.2278
2 Sr 0.0000 0.0000 0.7722
3 Be 0.5000 0.5000 0.0000
4 In 0.5000 0.5000 0.5000

# 7
Material: Ta2BeIn
Method: DFT, meta-GGA SCAN
State: PBEsol geometry

Results
energy of formation from the pure elements = 231 meV per atom
calculated volume = 68.71 Å³ per cell
crystal system = tetragonal
M_tot = 0.00 μB per cell
energy above the most stable polymorph in this dataset = 200 meV per atom

a b c (Å): 3.4037 3.4037 5.9307
angles (deg): 90.00 90.00 90.00
Element x y z (fractional)
1 Ta 0.0000 0.0000 0.0000
2 Ta 0.5000 0.5000 0.2096
3 Be 0.0000 0.0000 0.4286
4 In 0.5000 0.5000 0.6934

# 8
Material: Ta2BeIn
Method: DFT, meta-GGA SCAN
State: PBEsol geometry

Results
energy of formation from the pure elements = 31 meV per atom
calculated volume = 63.87 Å³ per cell
crystal system = tetragonal
M_tot = 0.00 μB per cell
energy above the most stable polymorph in this dataset = 0 meV per atom

a b c (Å): 2.8566 2.8566 7.8267
angles (deg): 90.00 90.00 90.00
Element x y z (fractional)
1 Ta 0.0000 0.0000 0.2067
2 Ta 0.0000 0.0000 0.7933
3 Be 0.5000 0.5000 0.0000
4 In 0.5000 0.5000 0.5000

# 9
Material: TaBe3In
Method: DFT, meta-GGA SCAN
State: PBEsol geometry

Results
energy of formation from the pure elements = 1485 meV per atom
calculated volume = 77.62 Å³ per cell
crystal system = cubic
M_tot = 0.00 μB per cell

a b c (Å): 4.2658 4.2658 4.2658
angles (deg): 90.00 90.00 90.00
Element x y z (fractional)
1 Ta 0.0000 0.0000 0.0000
2 Be 0.0000 0.5000 0.5000
3 Be 0.5000 0.0000 0.5000
4 Be 0.5000 0.5000 0.0000
5 In 0.5000 0.5000 0.5000

# 10
Material: Ta2BeIn
Method: DFT, meta-GGA SCAN
State: PBEsol geometry

Results
energy of formation from the pure elements = 176 meV per atom
calculated volume = 65.53 Å³ per cell
crystal system = orthorhombic
M_tot = 0.00 μB per cell
energy above the most stable polymorph in this dataset = 145 meV per atom

a b c (Å): 2.8676 3.9856 5.7332
angles (deg): 90.00 90.00 90.00
Element x y z (fractional)
1 Ta 0.0000 0.0000 0.2307
2 Ta 0.0000 0.0000 0.7693
3 Be 0.5000 0.5000 0.0000
4 In 0.5000 0.5000 0.5000

# 11
Material: Ta2BeIn
Method: DFT, meta-GGA SCAN
State: PBEsol geometry

Results
energy of formation from the pure elements = 492 meV per atom
calculated volume = 65.28 Å³ per cell
crystal system = cubic
M_tot = 0.00 μB per cell
energy above the most stable polymorph in this dataset = 461 meV per atom

a b c (Å): 4.5197 4.5197 4.5197
angles (deg): 60.00 60.00 60.00
Element x y z (fractional)
1 Ta 0.2500 0.2500 0.2500
2 Ta 0.7500 0.7500 0.7500
3 Be 0.0000 0.0000 0.0000
4 In 0.5000 0.5000 0.5000

# 12
Material: BeIn3Tc
Method: DFT, meta-GGA SCAN
State: PBEsol geometry

Results
energy of formation from the pure elements = 915 meV per atom
calculated volume = 102.12 Å³ per cell
crystal system = cubic
M_tot = 3.42 μB per cell

a b c (Å): 4.6742 4.6742 4.6742
angles (deg): 90.00 90.00 90.00
Element x y z (fractional)
1 Be 0.0000 0.0000 0.0000
2 In 0.0000 0.0000 0.5000
3 In 0.0000 0.5000 0.0000
4 In 0.5000 0.0000 0.0000
5 Tc 0.5000 0.5000 0.5000